(1)
Computed, not measured: Nd7VSe8O4 at its PBEsol-relaxed geometry at the SCAN level of DFT.

Results
The space-group type is Pbam (55). For the raw formation energy, the calculation gives -2605.5 meV/atom. The calculation puts the calculated total energy at -28.011 eV/atom.

```
data_Nd7VSe8O4
_chemical_formula_sum 'Nd14 V2 Se16 O8'
_space_group_name_H-M_alt 'P 1'
_space_group_IT_number 1
_space_group_name_Hall 'P 1'
_cell_length_a 3.989
_cell_length_b 14.267
_cell_length_c 15.548
_cell_angle_alpha 90.00
_cell_angle_beta 90.00
_cell_angle_gamma 90.00
loop_
_atom_site_label
_atom_site_type_symbol
_atom_site_fract_x
_atom_site_fract_y
_atom_site_fract_z
Se1 Se 0.500 0.383 0.469
Se2 Se 0.500 0.647 0.973
Se3 Se 0.000 0.345 0.264
Se4 Se 0.000 0.069 0.327
Se5 Se 0.000 0.931 0.673
Se6 Se 0.000 0.655 0.736
Se7 Se 0.500 0.353 0.027
Se8 Se 0.000 0.155 0.764
Se9 Se 0.500 0.617 0.531
Se10 Se 0.000 0.431 0.827
Se11 Se 0.000 0.569 0.173
Se12 Se 0.500 0.883 0.031
Se13 Se 0.500 0.117 0.969
Se14 Se 0.500 0.147 0.527
Se15 Se 0.500 0.853 0.473
Se16 Se 0.000 0.845 0.236
Nd1 Nd 0.500 0.506 0.311
Nd2 Nd 0.000 0.209 0.117
Nd3 Nd 0.500 0.719 0.163
Nd4 Nd 0.000 0.291 0.617
Nd5 Nd 0.500 0.281 0.837
Nd6 Nd 0.000 0.500 0.000
Nd7 Nd 0.500 0.494 0.689
Nd8 Nd 0.500 0.994 0.811
Nd9 Nd 0.500 0.781 0.663
Nd10 Nd 0.000 0.000 0.500
Nd11 Nd 0.500 0.006 0.189
Nd12 Nd 0.000 0.791 0.883
Nd13 Nd 0.000 0.709 0.383
Nd14 Nd 0.500 0.219 0.337
O1 O 0.000 0.456 0.617
O2 O 0.000 0.044 0.117
O3 O 0.500 0.827 0.812
O4 O 0.000 0.544 0.383
O5 O 0.500 0.173 0.188
O6 O 0.500 0.673 0.312
O7 O 0.500 0.327 0.688
O8 O 0.000 0.956 0.883
V1 V 0.000 0.500 0.500
V2 V 0.000 0.000 0.000
```

---

(2)
Computed, not measured: Nd2SiTeO4 at its PBEsol-relaxed geometry at the SCAN level of DFT.

Results
For the density of states at the Fermi level, the calculation gives 0.000 states/eV per cell. The space-group type is Pbcm (57). For the raw formation energy, the calculation gives -3179.8 meV/atom. The calculation puts the calculated total energy at -23.099 eV/atom. The calculation puts the distance to the lowest polymorph of the same formula at 0 meV per atom.

```
data_Nd2SiTeO4
_chemical_formula_sum 'Nd8 Si4 Te4 O16'
_space_group_name_H-M_alt 'P 1'
_space_group_IT_number 1
_space_group_name_Hall 'P 1'
_cell_length_a 6.292
_cell_length_b 7.160
_cell_length_c 11.131
_cell_angle_alpha 90.00
_cell_angle_beta 90.00
_cell_angle_gamma 90.00
loop_
_atom_site_label
_atom_site_type_symbol
_atom_site_fract_x
_atom_site_fract_y
_atom_site_fract_z
O1 O 0.050 0.731 0.884
O2 O 0.730 0.576 0.463
O3 O 0.270 0.076 0.463
O4 O 0.050 0.769 0.116
O5 O 0.270 0.076 0.037
O6 O 0.950 0.231 0.884
O7 O 0.270 0.424 0.963
O8 O 0.730 0.576 0.037
O9 O 0.270 0.424 0.537
O10 O 0.950 0.231 0.616
O11 O 0.950 0.269 0.384
O12 O 0.050 0.731 0.616
O13 O 0.050 0.769 0.384
O14 O 0.950 0.269 0.116
O15 O 0.730 0.924 0.963
O16 O 0.730 0.924 0.537
Nd1 Nd 0.886 0.538 0.250
Nd2 Nd 0.611 0.250 0.000
Nd3 Nd 0.389 0.750 0.500
Nd4 Nd 0.114 0.462 0.750
Nd5 Nd 0.114 0.038 0.250
Nd6 Nd 0.611 0.250 0.500
Nd7 Nd 0.389 0.750 0.000
Nd8 Nd 0.886 0.962 0.750
Si1 Si 0.887 0.750 0.000
Si2 Si 0.113 0.250 0.000
Si3 Si 0.113 0.250 0.500
Si4 Si 0.887 0.750 0.500
Te1 Te 0.400 0.076 0.750
Te2 Te 0.400 0.424 0.250
Te3 Te 0.600 0.924 0.250
Te4 Te 0.600 0.576 0.750
```

---

The calculation returns the following spin magnetization values, one per record and in order: 2.0 0.0 μB per formula unit.